This record from the Alexandria database describes an optimized crystal structure of CaNi2Sn2. The functional is PBE.

Geometry as POSCAR:
```
CaNi2Sn2
1.0
7.643 0.000 0.000
0.000 7.643 0.000
0.000 0.000 3.251
Ca Ni Sn
2 4 4
direct
0.000 0.000 0.000 Ca
0.500 0.500 0.000 Ca
0.123 0.377 0.000 Ni
0.377 0.877 0.000 Ni
0.623 0.123 0.000 Ni
0.877 0.623 0.000 Ni
0.161 0.661 0.500 Sn
0.339 0.161 0.500 Sn
0.661 0.839 0.500 Sn
0.839 0.339 0.500 Sn
```

Its formation energy is -218 meV/atom. The total DFT energy (no corrections) is -4.5316 eV per atom.